Below is an optimized crystal structure of PmTh2Mg, with properties calculated at the PBE level.

Cell: 4.922 4.922 5.076 Å, 90.00 90.00 90.00°
Space group P4/mmm (No. 123)
Asymmetric unit:
Pm  0.000  0.000  0.000 [1 per cell]
Th  0.000  0.500  0.500 [2 per cell]
Mg  0.500  0.500  0.000 [1 per cell]

Values from the calculation:
Final energy, Ry/atom: -0.3847
Total magnetic moment, μB per atom: 0.000
Polymorph energy (0 for the lowest one), meV/atom: 0.0

Below is an optimized crystal structure of Pm2ThMg6, with properties calculated at the PBE level.

Cell: 9.1683 9.1683 3.3210 Å, 90.00 90.00 120.00°
Space group P6/mmm (No. 191)
Asymmetric unit:
Pm  0.3333  0.6667  0.0000 [2 per cell]
Th  0.0000  0.0000  0.0000 [1 per cell]
Mg  0.0000  0.3332  0.5000 [6 per cell]

Values from the calculation:
Final energy, Ry/atom: -0.2202
Total magnetic moment, μB per atom: 0.000

Below is an optimized crystal structure of PmTh2Mg, with properties calculated at the PBE level.

Cell: 7.894 7.894 7.894 Å, 90.00 90.00 90.00°
Space group Fm-3m (No. 225)
Asymmetric unit:
Pm  0.000  0.000  0.000 [4 per cell]
Th  0.250  0.250  0.250 [8 per cell]
Mg  0.000  0.000  0.500 [4 per cell]

Values from the calculation:
Final energy, Ry/atom: -0.3767
Total magnetic moment, μB per atom: 0.000
Polymorph energy (0 for the lowest one), meV/atom: 109.5

Below is an optimized crystal structure of Pm2ThMg3, with properties calculated at the PBE level.

Cell: 3.855 3.855 11.574 Å, 90.00 90.00 90.00°
Space group P4/mmm (No. 123)
Asymmetric unit:
Pm  0.000  0.000  0.169 [2 per cell]
Th  0.000  0.000  0.500 [1 per cell]
Mg  0.500  0.500  0.000 [1 per cell]
Mg  0.500  0.500  0.332 [2 per cell]

Values from the calculation:
Final energy, Ry/atom: -0.2687
Total magnetic moment, μB per atom: 0.000

Below is an optimized crystal structure of PmThMgTl, with properties calculated at the PBE level.

Cell: 7.740 7.740 7.740 Å, 90.00 90.00 90.00°
Space group F-43m (No. 216)
Asymmetric unit:
Pm  0.000  0.000  0.000 [4 per cell]
Th  0.000  0.000  0.500 [4 per cell]
Mg  0.250  0.250  0.250 [4 per cell]
Tl  0.250  0.250  0.750 [4 per cell]

Values from the calculation:
Final energy, Ry/atom: -0.3043
Total magnetic moment, μB per atom: 0.000

Below is an optimized crystal structure of PmTmThMg, with properties calculated at the PBE level.

Cell: 3.594 3.594 9.263 Å, 90.00 90.00 90.00°
Space group P4mm (No. 99)
Asymmetric unit:
Pm  0.000  0.000  0.000 [1 per cell]
Tm  0.000  0.000  0.481 [1 per cell]
Th  0.500  0.500  0.735 [1 per cell]
Mg  0.500  0.500  0.250 [1 per cell]

Values from the calculation:
Final energy, Ry/atom: -0.3380
Total magnetic moment, μB per atom: 0.000
Polymorph energy (0 for the lowest one), meV/atom: 0.0

Below is an optimized crystal structure of PmTmThMg, with properties calculated at the PBE level.

Cell: 7.835 7.835 7.835 Å, 90.00 90.00 90.00°
Space group F-43m (No. 216)
Asymmetric unit:
Pm  0.000  0.000  0.000 [4 per cell]
Tm  0.250  0.250  0.750 [4 per cell]
Th  0.000  0.000  0.500 [4 per cell]
Mg  0.250  0.250  0.250 [4 per cell]

Values from the calculation:
Final energy, Ry/atom: -0.3286
Total magnetic moment, μB per atom: 0.000
Polymorph energy (0 for the lowest one), meV/atom: 128.0

Below is an optimized crystal structure of Pm4Y2ThMg, with properties calculated at the PBE level.

Cell: 5.911 5.911 7.410 Å, 90.00 90.00 90.00°
Space group P4/mmm (No. 123)
Asymmetric unit:
Pm  0.000  0.500  0.239 [4 per cell]
Y  0.000  0.000  0.500 [1 per cell]
Y  0.500  0.500  0.500 [1 per cell]
Th  0.000  0.000  0.000 [1 per cell]
Mg  0.500  0.500  0.000 [1 per cell]

Values from the calculation:
Final energy, Ry/atom: -0.3695
Total magnetic moment, μB per atom: 0.000

Below is an optimized crystal structure of PmThMgZr, with properties calculated at the PBE level.

Cell: 7.646 7.646 7.646 Å, 90.00 90.00 90.00°
Space group F-43m (No. 216)
Asymmetric unit:
Pm  0.000  0.000  0.000 [4 per cell]
Th  0.000  0.000  0.500 [4 per cell]
Mg  0.250  0.250  0.250 [4 per cell]
Zr  0.250  0.250  0.750 [4 per cell]

Values from the calculation:
Final energy, Ry/atom: -0.4008
Total magnetic moment, μB per atom: 0.173

Below is an optimized crystal structure of PmMg2Ti, with properties calculated at the PBE level.

Cell: 3.528 3.528 7.600 Å, 90.00 90.00 90.00°
Space group P4/mmm (No. 123)
Asymmetric unit:
Pm  0.000  0.000  0.000 [1 per cell]
Mg  0.500  0.500  0.291 [2 per cell]
Ti  0.000  0.000  0.500 [1 per cell]

Values from the calculation:
Final energy, Ry/atom: -0.2809
Total magnetic moment, μB per atom: 0.001

Below is an optimized crystal structure of PmTmMgTi, with properties calculated at the PBE level.

Cell: 7.452 7.452 7.452 Å, 90.00 90.00 90.00°
Space group F-43m (No. 216)
Asymmetric unit:
Pm  0.000  0.000  0.000 [4 per cell]
Tm  0.000  0.000  0.500 [4 per cell]
Mg  0.250  0.250  0.250 [4 per cell]
Ti  0.250  0.250  0.750 [4 per cell]

Values from the calculation:
Final energy, Ry/atom: -0.3329
Total magnetic moment, μB per atom: 0.495

Below is an optimized crystal structure of PmYMgTi, with properties calculated at the PBE level.

Cell: 7.507 7.507 7.507 Å, 90.00 90.00 90.00°
Space group F-43m (No. 216)
Asymmetric unit:
Pm  0.000  0.000  0.000 [4 per cell]
Y  0.000  0.000  0.500 [4 per cell]
Mg  0.250  0.250  0.250 [4 per cell]
Ti  0.250  0.250  0.750 [4 per cell]

Values from the calculation:
Final energy, Ry/atom: -0.3701
Total magnetic moment, μB per atom: 0.493